Entry 1:
# PBE BeCoNiPb, optimized geometry
# calculated density: 10.4 g cm⁻³
# DFT total energy: -4.727 eV/atom
# offset from the most stable computed form: 0.0 meV per atom
data_BeCoNiPb
_chemical_formula_sum 'Be4 Co4 Ni4 Pb4'
_cell_length_a 5.969
_cell_length_b 5.969
_cell_length_c 5.969
_cell_angle_alpha 90.00
_cell_angle_beta 90.00
_cell_angle_gamma 90.00
_space_group_name_H-M_alt 'F -4 3 m'
_space_group_IT_number 216
_space_group_name_Hall 'F -4 2 3'
loop_
_atom_site_label
_atom_site_fract_x
_atom_site_fract_y
_atom_site_fract_z
Be1 0.000 0.000 0.000
Co1 0.250 0.250 0.750
Ni1 0.250 0.250 0.250
Pb1 0.000 0.000 0.500

Entry 2:
# PBE HfAl2Ag2, optimized geometry
# calculated density: 8.2 g cm⁻³
# DFT total energy: -4.585 eV/atom
data_HfAl2Ag2
_chemical_formula_sum 'Hf2 Al4 Ag4'
_cell_length_a 3.948
_cell_length_b 3.948
_cell_length_c 11.705
_cell_angle_alpha 90.00
_cell_angle_beta 90.00
_cell_angle_gamma 90.00
_space_group_name_H-M_alt 'I 4/m m m'
_space_group_IT_number 139
_space_group_name_Hall '-I 4 2'
loop_
_atom_site_label
_atom_site_fract_x
_atom_site_fract_y
_atom_site_fract_z
Hf1 0.000 0.000 0.000
Al1 0.000 0.500 0.250
Ag1 0.000 0.000 0.390

Entry 3:
# PBE KReNO, optimized geometry
# calculated density: 6.4 g cm⁻³
# DFT total energy: -6.711 eV/atom
# offset from the most stable computed form: 645.1 meV per atom
data_KReNO
_chemical_formula_sum 'K4 Re4 N4 O4'
_cell_length_a 5.127
_cell_length_b 6.953
_cell_length_c 7.488
_cell_angle_alpha 90.00
_cell_angle_beta 90.00
_cell_angle_gamma 90.00
_space_group_name_H-M_alt 'C m m e'
_space_group_IT_number 67
_space_group_name_Hall '-C 2a 2'
loop_
_atom_site_label
_atom_site_fract_x
_atom_site_fract_y
_atom_site_fract_z
K1 0.250 0.000 0.000
Re1 0.000 0.250 0.427
N1 0.000 0.250 0.194
O1 0.250 0.000 0.500

Entry 4:
# PBE TmIrPb2O6, optimized geometry
# calculated density: 10.6 g cm⁻³
# DFT total energy: -6.643 eV/atom
# offset from the most stable computed form: 0.0 meV per atom
data_TmIrPb2O6
_chemical_formula_sum 'Tm4 Ir4 Pb8 O24'
_cell_length_a 10.012
_cell_length_b 5.755
_cell_length_c 10.042
_cell_angle_alpha 90.00
_cell_angle_beta 108.59
_cell_angle_gamma 90.00
_space_group_name_H-M_alt 'C 1 2/c 1'
_space_group_IT_number 15
_space_group_name_Hall '-C 2yc'
loop_
_atom_site_label
_atom_site_fract_x
_atom_site_fract_y
_atom_site_fract_z
Tm1 0.000 0.249 0.250
Ir1 0.250 0.250 0.000
Pb1 0.131 0.232 0.626
O1 0.095 0.209 0.081
O2 0.153 0.032 0.849
O3 0.155 0.488 0.379

Entry 5:
# PBE LiSiAgAu, optimized geometry
# calculated density: 8.7 g cm⁻³
# DFT total energy: -3.471 eV/atom
# offset from the most stable computed form: 108.8 meV per atom
data_LiSiAgAu
_chemical_formula_sum 'Li4 Si4 Ag4 Au4'
_cell_length_a 6.369
_cell_length_b 6.369
_cell_length_c 6.369
_cell_angle_alpha 90.00
_cell_angle_beta 90.00
_cell_angle_gamma 90.00
_space_group_name_H-M_alt 'F -4 3 m'
_space_group_IT_number 216
_space_group_name_Hall 'F -4 2 3'
loop_
_atom_site_label
_atom_site_fract_x
_atom_site_fract_y
_atom_site_fract_z
Li1 0.000 0.000 0.000
Si1 0.250 0.250 0.750
Ag1 0.250 0.250 0.250
Au1 0.000 0.000 0.500

Entry 6:
# PBE Pm4OsCl5, optimized geometry
# calculated density: 5.1 g cm⁻³
# DFT total energy: -5.520 eV/atom
data_Pm4OsCl5
_chemical_formula_sum 'Pm8 Os2 Cl10'
_cell_length_a 18.138
_cell_length_b 4.062
_cell_length_c 8.666
_cell_angle_alpha 90.00
_cell_angle_beta 106.02
_cell_angle_gamma 90.00
_space_group_name_H-M_alt 'C 1 2/m 1'
_space_group_IT_number 12
_space_group_name_Hall '-C 2y'
loop_
_atom_site_label
_atom_site_fract_x
_atom_site_fract_y
_atom_site_fract_z
Pm1 0.002 0.000 0.231
Pm2 0.152 0.500 0.092
Os1 0.000 0.500 0.000
Cl1 0.000 0.500 0.500
Cl2 0.169 0.000 0.327
Cl3 0.171 0.000 0.867

Entry 7:
# PBE HoTm2Zn3CuAu2, optimized geometry
# calculated density: 10.8 g cm⁻³
# DFT total energy: -3.657 eV/atom
# formation enthalpy at 0 K: -57.24 kJ/mol of atoms
data_HoTm2Zn3CuAu2
_chemical_formula_sum 'Ho2 Tm4 Zn6 Cu2 Au4'
_cell_length_a 3.901
_cell_length_b 12.567
_cell_length_c 7.231
_cell_angle_alpha 90.00
_cell_angle_beta 90.00
_cell_angle_gamma 90.00
_space_group_name_H-M_alt 'A m m 2'
_space_group_IT_number 38
_space_group_name_Hall 'A 2 -2'
loop_
_atom_site_label
_atom_site_fract_x
_atom_site_fract_y
_atom_site_fract_z
Ho1 0.000 0.000 0.000
Tm1 0.000 0.202 0.394
Zn1 0.500 0.000 0.362
Zn2 0.500 0.118 0.712
Cu1 0.000 0.000 0.594
Au1 0.500 0.168 0.097

Entry 8:
# PBE TaIrPd2, optimized geometry
# calculated density: 15.5 g cm⁻³
# DFT total energy: -8.069 eV/atom
# formation enthalpy at 0 K: -29.41 kJ/mol of atoms
data_TaIrPd2
_chemical_formula_sum 'Ta4 Ir4 Pd8'
_cell_length_a 6.306
_cell_length_b 6.306
_cell_length_c 6.306
_cell_angle_alpha 90.00
_cell_angle_beta 90.00
_cell_angle_gamma 90.00
_space_group_name_H-M_alt 'F -4 3 m'
_space_group_IT_number 216
_space_group_name_Hall 'F -4 2 3'
loop_
_atom_site_label
_atom_site_fract_x
_atom_site_fract_y
_atom_site_fract_z
Ta1 0.000 0.000 0.000
Ir1 0.250 0.250 0.250
Pd1 0.000 0.000 0.500
Pd2 0.250 0.250 0.750

Entry 9:
# PBE AcNdCu, optimized geometry
# calculated density: 7.8 g cm⁻³
# DFT total energy: -3.565 eV/atom
# formation enthalpy at 0 K: 60.82 kJ/mol of atoms
data_AcNdCu
_chemical_formula_sum 'Ac4 Nd4 Cu4'
_cell_length_a 7.170
_cell_length_b 7.170
_cell_length_c 7.170
_cell_angle_alpha 90.00
_cell_angle_beta 90.00
_cell_angle_gamma 90.00
_space_group_name_H-M_alt 'F -4 3 m'
_space_group_IT_number 216
_space_group_name_Hall 'F -4 2 3'
loop_
_atom_site_label
_atom_site_fract_x
_atom_site_fract_y
_atom_site_fract_z
Ac1 0.000 0.000 0.000
Nd1 0.250 0.250 0.250
Cu1 0.000 0.000 0.500

Entry 10:
# PBE YBeCuBi, optimized geometry
# calculated density: 7.7 g cm⁻³
# DFT total energy: -4.375 eV/atom
# offset from the most stable computed form: 0.0 meV per atom
data_YBeCuBi
_chemical_formula_sum 'Y4 Be4 Cu4 Bi4'
_cell_length_a 6.851
_cell_length_b 6.851
_cell_length_c 6.851
_cell_angle_alpha 90.00
_cell_angle_beta 90.00
_cell_angle_gamma 90.00
_space_group_name_H-M_alt 'F -4 3 m'
_space_group_IT_number 216
_space_group_name_Hall 'F -4 2 3'
loop_
_atom_site_label
_atom_site_fract_x
_atom_site_fract_y
_atom_site_fract_z
Y1 0.000 0.000 0.000
Be1 0.250 0.250 0.250
Cu1 0.250 0.250 0.750
Bi1 0.000 0.000 0.500

Entry 11:
# PBE Dy2Se2BrCl, optimized geometry
# calculated density: 5.0 g cm⁻³
# DFT total energy: -5.262 eV/atom
data_Dy2Se2BrCl
_chemical_formula_sum 'Dy2 Se2 Br1 Cl1'
_cell_length_a 4.093
_cell_length_b 5.649
_cell_length_c 8.644
_cell_angle_alpha 90.00
_cell_angle_beta 90.00
_cell_angle_gamma 90.00
_space_group_name_H-M_alt 'P m m 2'
_space_group_IT_number 25
_space_group_name_Hall 'P 2 -2'
loop_
_atom_site_label
_atom_site_fract_x
_atom_site_fract_y
_atom_site_fract_z
Dy1 0.000 0.000 0.000
Dy2 0.500 0.500 0.274
Se1 0.000 0.500 0.039
Se2 0.500 0.000 0.233
Br1 0.500 0.000 0.775
Cl1 0.000 0.500 0.474

Entry 12:
# PBE BeOs2Pt, optimized geometry
# calculated density: 17.6 g cm⁻³
# DFT total energy: -7.705 eV/atom
data_BeOs2Pt
_chemical_formula_sum 'Be4 Os8 Pt4'
_cell_length_a 6.046
_cell_length_b 6.046
_cell_length_c 6.046
_cell_angle_alpha 90.00
_cell_angle_beta 90.00
_cell_angle_gamma 90.00
_space_group_name_H-M_alt 'F -4 3 m'
_space_group_IT_number 216
_space_group_name_Hall 'F -4 2 3'
loop_
_atom_site_label
_atom_site_fract_x
_atom_site_fract_y
_atom_site_fract_z
Be1 0.000 0.000 0.000
Os1 0.000 0.000 0.500
Os2 0.250 0.250 0.750
Pt1 0.250 0.250 0.250

Entry 13:
# PBE DySbTe, optimized geometry
# calculated density: 7.1 g cm⁻³
# DFT total energy: -4.266 eV/atom
data_DySbTe
_chemical_formula_sum 'Dy4 Sb4 Te4'
_cell_length_a 7.277
_cell_length_b 7.277
_cell_length_c 7.277
_cell_angle_alpha 90.00
_cell_angle_beta 90.00
_cell_angle_gamma 90.00
_space_group_name_H-M_alt 'F -4 3 m'
_space_group_IT_number 216
_space_group_name_Hall 'F -4 2 3'
loop_
_atom_site_label
_atom_site_fract_x
_atom_site_fract_y
_atom_site_fract_z
Dy1 0.000 0.000 0.000
Sb1 0.000 0.000 0.500
Te1 0.250 0.250 0.250

Entry 14:
# PBE ReBi, optimized geometry
# calculated density: 14.8 g cm⁻³
# DFT total energy: -7.445 eV/atom
# offset from the most stable computed form: 200.8 meV per atom
data_ReBi
_chemical_formula_sum 'Re4 Bi4'
_cell_length_a 4.165
_cell_length_b 10.403
_cell_length_c 4.102
_cell_angle_alpha 90.00
_cell_angle_beta 90.00
_cell_angle_gamma 90.00
_space_group_name_H-M_alt 'C m c m'
_space_group_IT_number 63
_space_group_name_Hall '-C 2c 2'
loop_
_atom_site_label
_atom_site_fract_x
_atom_site_fract_y
_atom_site_fract_z
Re1 0.000 0.063 0.250
Bi1 0.000 0.350 0.250

Entry 15:
# PBE PaSb2O4, optimized geometry
# calculated density: 7.3 g cm⁻³
# DFT total energy: -6.442 eV/atom
data_PaSb2O4
_chemical_formula_sum 'Pa4 Sb8 O16'
_cell_length_a 7.017
_cell_length_b 7.017
_cell_length_c 9.959
_cell_angle_alpha 90.00
_cell_angle_beta 90.00
_cell_angle_gamma 90.00
_space_group_name_H-M_alt 'I 41/a m d'
_space_group_IT_number 141
loop_
_space_group_symop_operation_xyz
'x,y,z'
'-x,-y,-z'
'-y+1/4,x+3/4,z+1/4'
'y+1/4,-x+3/4,-z+1/4'
'-x+1/2,-y,z+1/2'
'x+1/2,y,-z+1/2'
'y+1/4,-x+1/4,z+3/4'
'-y+1/4,x+1/4,-z+3/4'
'x,-y,-z'
'-x,y,z'
'-y+1/4,-x+1/4,-z+3/4'
'y+1/4,x+1/4,z+3/4'
'-x+1/2,y,-z+1/2'
'x+1/2,-y,z+1/2'
'y+1/4,x+3/4,-z+1/4'
'-y+1/4,-x+3/4,z+1/4'
'x+1/2,y+1/2,z+1/2'
'-x+1/2,-y+1/2,-z+1/2'
'-y+3/4,x+1/4,z+3/4'
'y+3/4,-x+1/4,-z+3/4'
'-x,-y+1/2,z'
'x,y+1/2,-z'
'y+3/4,-x+3/4,z+1/4'
'-y+3/4,x+3/4,-z+1/4'
'x+1/2,-y+1/2,-z+1/2'
'-x+1/2,y+1/2,z+1/2'
'-y+3/4,-x+3/4,-z+1/4'
'y+3/4,x+3/4,z+1/4'
'-x,y+1/2,-z'
'x,-y+1/2,z'
'y+3/4,x+1/4,-z+3/4'
'-y+3/4,-x+1/4,z+3/4'
loop_
_atom_site_label
_atom_site_fract_x
_atom_site_fract_y
_atom_site_fract_z
Pa1 0.000 0.250 0.375
Sb1 0.000 0.000 0.000
O1 0.000 0.021 0.761

Entry 16:
# PBE NdNi4As2, optimized geometry
# calculated density: 8.5 g cm⁻³
# DFT total energy: -5.795 eV/atom
data_NdNi4As2
_chemical_formula_sum 'Nd2 Ni8 As4'
_cell_length_a 7.359
_cell_length_b 7.359
_cell_length_c 3.793
_cell_angle_alpha 90.00
_cell_angle_beta 90.00
_cell_angle_gamma 90.00
_space_group_name_H-M_alt 'P 42/m n m'
_space_group_IT_number 136
_space_group_name_Hall '-P 4n 2n'
loop_
_atom_site_label
_atom_site_fract_x
_atom_site_fract_y
_atom_site_fract_z
Nd1 0.000 0.000 0.000
Ni1 0.087 0.348 0.500
As1 0.220 0.780 0.500

Entry 17:
# PBE ZnH2, optimized geometry
# calculated density: 3.5 g cm⁻³
# DFT total energy: -2.563 eV/atom
data_ZnH2
_chemical_formula_sum 'Zn4 H8'
_cell_length_a 4.754
_cell_length_b 5.983
_cell_length_c 4.528
_cell_angle_alpha 90.00
_cell_angle_beta 90.00
_cell_angle_gamma 90.00
_space_group_name_H-M_alt 'P n a 21'
_space_group_IT_number 33
_space_group_name_Hall 'P 2c -2n'
loop_
_atom_site_label
_atom_site_fract_x
_atom_site_fract_y
_atom_site_fract_z
Zn1 0.067 0.126 0.000
H1 0.058 0.116 0.629
H2 0.097 0.640 0.606

Entry 18:
# PBE Dy4NiI5, optimized geometry
# calculated density: 6.6 g cm⁻³
# DFT total energy: -4.226 eV/atom
data_Dy4NiI5
_chemical_formula_sum 'Dy8 Ni2 I10'
_cell_length_a 19.355
_cell_length_b 4.072
_cell_length_c 8.847
_cell_angle_alpha 90.00
_cell_angle_beta 102.56
_cell_angle_gamma 90.00
_space_group_name_H-M_alt 'C 1 2/m 1'
_space_group_IT_number 12
_space_group_name_Hall '-C 2y'
loop_
_atom_site_label
_atom_site_fract_x
_atom_site_fract_y
_atom_site_fract_z
Dy1 0.000 0.000 0.199
Dy2 0.140 0.500 0.072
Ni1 0.000 0.500 0.000
I1 0.000 0.500 0.500
I2 0.168 0.000 0.344
I3 0.177 0.000 0.829

Entry 19:
# PBE RbAsW, optimized geometry
# calculated density: 5.9 g cm⁻³
# DFT total energy: -3.769 eV/atom
# offset from the most stable computed form: 824.3 meV per atom
data_RbAsW
_chemical_formula_sum 'Rb4 As4 W4'
_cell_length_a 7.284
_cell_length_b 7.284
_cell_length_c 7.284
_cell_angle_alpha 90.00
_cell_angle_beta 90.00
_cell_angle_gamma 90.00
_space_group_name_H-M_alt 'F -4 3 m'
_space_group_IT_number 216
_space_group_name_Hall 'F -4 2 3'
loop_
_atom_site_label
_atom_site_fract_x
_atom_site_fract_y
_atom_site_fract_z
Rb1 0.000 0.000 0.000
As1 0.250 0.250 0.750
W1 0.250 0.250 0.250

Entry 20:
# PBE MoI, optimized geometry
# calculated density: 6.6 g cm⁻³
# DFT total energy: -4.785 eV/atom
# offset from the most stable computed form: 435.5 meV per atom
data_MoI
_chemical_formula_sum 'Mo4 I4'
_cell_length_a 6.081
_cell_length_b 6.081
_cell_length_c 6.081
_cell_angle_alpha 90.00
_cell_angle_beta 90.00
_cell_angle_gamma 90.00
_space_group_name_H-M_alt 'F -4 3 m'
_space_group_IT_number 216
_space_group_name_Hall 'F -4 2 3'
loop_
_atom_site_label
_atom_site_fract_x
_atom_site_fract_y
_atom_site_fract_z
Mo1 0.000 0.000 0.000
I1 0.250 0.250 0.250